(1)
{
  "formula": "AuSe3",
  "functional": "PBE",
  "state": "optimized geometry",
  "space_group": "I4/mmm (139)",
  "density_g_cm3": 6.189,
  "dft_energy_ev_per_atom": -3.24,
  "cell": [[-1.8361, 1.8361, 17.2649], [1.8361, -1.8361, 17.2649], [1.8361, 1.8361, -17.2649]],
  "species": ["Au", "Au", "Se", "Se", "Se", "Se", "Se", "Se"],
  "fractional_positions": [[0.3682, 0.3682, 0.0000], [0.6318, 0.6318, 0.0000], [0.0000, 0.5000, 0.5000], [0.5000, 0.0000, 0.5000], [0.2500, 0.7500, 0.5000], [0.7500, 0.2500, 0.5000], [0.1188, 0.1188, 0.0000], [0.8812, 0.8812, 0.0000]]
}

=====

(2)
{
  "formula": "Ba2LaZnF",
  "functional": "PBE",
  "state": "optimized geometry",
  "space_group": "P4/mmm (123)",
  "density_g_cm3": 5.251,
  "dft_energy_ev_per_atom": -3.30,
  "cell": [[-3.2277, -4.0978, 1.7978], [4.1268, -2.3507, 2.0510], [-0.8078, 2.7138, 4.7355]],
  "species": ["Zn", "F", "Ba", "Ba", "La"],
  "fractional_positions": [[0.5000, 0.5000, 0.5000], [0.0000, 0.0000, 0.0000], [0.0000, 0.0000, 0.5000], [0.5000, 0.0000, 0.0000], [0.0000, 0.5000, 0.0000]]
}

=====

(3)
{
  "formula": "Ag5Pd6Au",
  "functional": "PBE",
  "state": "optimized geometry",
  "space_group": "C2/m (12)",
  "density_g_cm3": 11.521,
  "formation_enthalpy_0k_ev_per_atom": -0.05,
  "de_polymorph_kj_per_mol_atoms": 0.0,
  "dft_energy_ev_per_atom": -4.11,
  "cell": [[-1.3827, -3.0509, -8.8789], [2.8498, -4.0444, 0.0243], [-1.9111, -4.3649, 1.3366]],
  "species": ["Ag", "Ag", "Ag", "Ag", "Ag", "Pd", "Pd", "Pd", "Pd", "Pd", "Pd", "Au"],
  "fractional_positions": [[0.5000, 0.1670, 0.6659], [0.0000, 0.3334, 0.3333], [0.5000, 0.5000, 0.0000], [0.0000, 0.6666, 0.6667], [0.5000, 0.8330, 0.3341], [0.7498, 0.0831, 0.3322], [0.2502, 0.5848, 0.3322], [0.2504, 0.2487, 0.0000], [0.7496, 0.7513, 0.0000], [0.7498, 0.4152, 0.6678], [0.2502, 0.9169, 0.6678], [0.0000, 0.0000, 0.0000]]
}

=====

Please write out number 3 again, unchanged.
{
  "formula": "Ag5Pd6Au",
  "functional": "PBE",
  "state": "optimized geometry",
  "space_group": "C2/m (12)",
  "density_g_cm3": 11.521,
  "formation_enthalpy_0k_ev_per_atom": -0.05,
  "de_polymorph_kj_per_mol_atoms": 0.0,
  "dft_energy_ev_per_atom": -4.11,
  "cell": [[-1.3827, -3.0509, -8.8789], [2.8498, -4.0444, 0.0243], [-1.9111, -4.3649, 1.3366]],
  "species": ["Ag", "Ag", "Ag", "Ag", "Ag", "Pd", "Pd", "Pd", "Pd", "Pd", "Pd", "Au"],
  "fractional_positions": [[0.5000, 0.1670, 0.6659], [0.0000, 0.3334, 0.3333], [0.5000, 0.5000, 0.0000], [0.0000, 0.6666, 0.6667], [0.5000, 0.8330, 0.3341], [0.7498, 0.0831, 0.3322], [0.2502, 0.5848, 0.3322], [0.2504, 0.2487, 0.0000], [0.7496, 0.7513, 0.0000], [0.7498, 0.4152, 0.6678], [0.2502, 0.9169, 0.6678], [0.0000, 0.0000, 0.0000]]
}

=====

Q: Which formula does entry 2 have?
A: Ba2LaZnF

=====

Repeat the third record exactly.
{
  "formula": "Ag5Pd6Au",
  "functional": "PBE",
  "state": "optimized geometry",
  "space_group": "C2/m (12)",
  "density_g_cm3": 11.521,
  "formation_enthalpy_0k_ev_per_atom": -0.05,
  "de_polymorph_kj_per_mol_atoms": 0.0,
  "dft_energy_ev_per_atom": -4.11,
  "cell": [[-1.3827, -3.0509, -8.8789], [2.8498, -4.0444, 0.0243], [-1.9111, -4.3649, 1.3366]],
  "species": ["Ag", "Ag", "Ag", "Ag", "Ag", "Pd", "Pd", "Pd", "Pd", "Pd", "Pd", "Au"],
  "fractional_positions": [[0.5000, 0.1670, 0.6659], [0.0000, 0.3334, 0.3333], [0.5000, 0.5000, 0.0000], [0.0000, 0.6666, 0.6667], [0.5000, 0.8330, 0.3341], [0.7498, 0.0831, 0.3322], [0.2502, 0.5848, 0.3322], [0.2504, 0.2487, 0.0000], [0.7496, 0.7513, 0.0000], [0.7498, 0.4152, 0.6678], [0.2502, 0.9169, 0.6678], [0.0000, 0.0000, 0.0000]]
}